This record from Alexandria describes a geometry-optimized BeSeBr2 structure. The functional is PBE.

Unit cell a=10.810 b=3.468 c=6.327 alpha=90.00 beta=100.03 gamma=90.00
Fractional positions:
Be  0.000  0.000  0.000
Be  0.500  0.500  0.000
Se  0.366  0.000  0.855
Se  0.866  0.500  0.855
Br  0.141  0.500  0.156
Br  0.486  0.000  0.572
Br  0.641  0.000  0.156
Br  0.986  0.500  0.572

## Properties
Space-group type ... No. 8
ΔE_f (raw) ... -20 kJ per mole of atoms
VASP energy ... -0.2089 Ry/atom